First-principles (PBE) data for a relaxed YZrTlCd crystal, as listed in the Alexandria database.

```
YZrTlCd
1.0
7.306 0.000 0.000
0.000 7.306 0.000
0.000 0.000 7.306
Y Zr Tl Cd
4 4 4 4
Direct
0.000 0.000 0.000
0.000 0.500 0.500
0.500 0.000 0.500
0.500 0.500 0.000
0.000 0.000 0.500
0.000 0.500 0.000
0.500 0.000 0.000
0.500 0.500 0.500
0.250 0.250 0.250
0.250 0.750 0.750
0.750 0.250 0.750
0.750 0.750 0.250
0.250 0.250 0.750
0.250 0.750 0.250
0.750 0.250 0.250
0.750 0.750 0.750
```

Calculated formation energy = -166 meV per atom

First-principles (PBE) data for a relaxed Hf2PaP crystal, as listed in the Alexandria database.

```
Hf2PaP
1.0
3.397 0.000 0.000
-1.699 2.942 0.000
0.000 0.000 25.888
Hf Pa P
6 3 3
Direct
0.000 0.000 0.000
0.000 0.000 0.207
0.333 0.667 0.667
0.333 0.667 0.874
0.667 0.333 0.333
0.667 0.333 0.540
0.000 0.000 0.770
0.333 0.667 0.437
0.667 0.333 0.104
0.000 0.000 0.603
0.333 0.667 0.270
0.667 0.333 0.937
```

Calculated formation energy = -475 meV per atom

First-principles (PBE) data for a relaxed Ba3Cd9Sn2 crystal, as listed in the Alexandria database.

```
Ba3Cd9Sn2
1.0
-2.561 5.446 7.377
2.561 -5.446 7.377
2.561 5.446 -7.377
Ba Cd Sn
3 9 2
Direct
0.000 0.000 0.000
0.310 0.310 0.000
0.690 0.690 0.000
0.032 0.667 0.365
0.145 0.863 0.281
0.302 0.667 0.635
0.418 0.137 0.281
0.500 0.000 0.500
0.582 0.863 0.719
0.698 0.333 0.365
0.855 0.137 0.719
0.968 0.333 0.635
0.288 0.500 0.788
0.712 0.500 0.212
```

Calculated formation energy = -305 meV per atom

First-principles (PBE) data for a relaxed PmNi4Ir crystal, as listed in the Alexandria database.

```
PmNi4Ir
1.0
7.178 0.000 0.000
0.000 3.825 0.000
0.000 0.000 6.894
Pm Ni Ir
2 8 2
Direct
0.250 0.000 0.133
0.750 0.000 0.867
0.000 0.000 0.500
0.036 0.500 0.743
0.250 0.500 0.463
0.464 0.500 0.743
0.500 0.000 0.500
0.536 0.500 0.257
0.750 0.500 0.537
0.964 0.500 0.257
0.250 0.000 0.732
0.750 0.000 0.268
```

Calculated formation energy = -31 meV per atom

First-principles (PBE) data for a relaxed MoPPdCl2 crystal, as listed in the Alexandria database.

```
MoPPdCl2
1.0
4.775 0.000 0.000
0.000 4.775 0.000
0.000 0.000 4.829
Mo P Pd Cl
1 1 1 2
Direct
0.000 0.000 0.000
0.500 0.500 0.000
0.500 0.500 0.500
0.000 0.500 0.500
0.500 0.000 0.500
```

Formation energy without anion corrections = 757 meV per atom

First-principles (PBE) data for a relaxed Pm4YGe2 crystal, as listed in the Alexandria database.

```
Pm4YGe2
1.0
9.932 0.000 0.000
0.000 9.932 0.000
0.000 0.000 4.045
Pm Y Ge
8 2 4
Direct
0.108 0.330 0.000
0.170 0.608 0.500
0.330 0.108 0.000
0.392 0.830 0.500
0.608 0.170 0.500
0.670 0.892 0.000
0.830 0.392 0.500
0.892 0.670 0.000
0.000 0.000 0.500
0.500 0.500 0.000
0.158 0.842 0.000
0.342 0.342 0.500
0.658 0.658 0.500
0.842 0.158 0.000
```

Calculated formation energy = -461 meV per atom

First-principles (PBE) data for a relaxed Li3HoF6 crystal, as listed in the Alexandria database.

```
Li3HoF6
1.0
3.341 -5.105 0.000
3.341 5.105 0.000
0.000 0.000 3.569
Li Ho F
3 1 6
Direct
0.000 0.000 0.000
0.000 0.500 0.500
0.500 0.000 0.500
0.500 0.500 0.000
0.090 0.338 0.000
0.338 0.090 0.000
0.365 0.635 0.500
0.635 0.365 0.500
0.662 0.910 0.000
0.910 0.662 0.000
```

Formation energy without anion corrections = -3333 meV per atom

First-principles (PBE) data for a relaxed Li2Th3Sn3 crystal, as listed in the Alexandria database.

```
Li2Th3Sn3
1.0
2.275 -5.870 0.000
2.275 5.870 0.000
0.000 0.000 15.529
Li Th Sn
4 6 6
Direct
0.219 0.781 0.593
0.219 0.781 0.907
0.781 0.219 0.093
0.781 0.219 0.407
0.076 0.924 0.113
0.076 0.924 0.387
0.371 0.629 0.250
0.629 0.371 0.750
0.924 0.076 0.613
0.924 0.076 0.887
0.338 0.662 0.750
0.381 0.619 0.043
0.381 0.619 0.457
0.619 0.381 0.543
0.619 0.381 0.957
0.662 0.338 0.250
```

Calculated formation energy = -493 meV per atom

Calculated final energy in order - -75.8; -110.1; -26.3; -73.8; -21.3; -75.9; -54.9; -84.1 eV per cell
Calculated magnetization in order - 0.00; 0.00; 0.00; 0.48; 3.20; 0.00; 0.00; 0.00 μB/cell